1.
Below is CsMg2Zn2As2P after structural relaxation, with properties calculated at the GGA-PBE level.

The structure in POSCAR format:
```
CsMg2Zn2As2P
1.0
-3.7288 -1.9045 0.3326
0.8628 -0.9542 4.2093
-4.4659 9.2705 3.0170
Cs P Mg Zn As
1 1 2 2 2
Cartesian
0.0000 0.0000 0.0000 Cs
-2.2329 4.6352 1.5085 P
-3.4314 2.3006 1.2249 Mg
-4.7632 5.0654 2.1247 Mg
-1.1293 2.7628 3.1590 Zn
-2.4737 5.5535 4.0673 Zn
-4.9145 5.7978 4.6230 As
-2.4173 0.6140 2.9359 As
```

Values from the calculation:
Total DFT energy (no corrections) (eV/cell): -25.3
Space group: Pmmm, No. 47


2.
Below is ErInFe after structural relaxation, with properties calculated at the GGA-PBE level.

The structure in POSCAR format:
```
ErInFe
1.0
-3.0277 0.6926 3.5072
-3.7634 2.7119 -0.6556
-4.2692 -1.9209 -0.1773
Fe In Er
1 1 1
Cartesian
-2.7651 0.3709 0.6686 Fe
-8.2952 1.1128 2.0057 In
0.0000 0.0000 0.0000 Er
```

Values from the calculation:
Total DFT energy (no corrections) (eV/cell): -13.3
Space group: F-43m, No. 216


3.
Below is RbP2Au4 after structural relaxation, with properties calculated at the GGA-PBE level.

The structure in POSCAR format:
```
RbP2Au4
1.0
-1.5011 -1.7635 9.4321
2.0374 -4.2495 8.4923
2.5315 0.0585 9.3763
Au P Rb
4 2 1
Cartesian
1.7508 -3.3984 15.5811 Au
0.4531 -0.8794 4.0322 Au
1.3169 -2.5561 11.7196 Au
2.6147 -5.0750 23.2685 Au
0.7369 -1.4303 6.5580 P
2.3309 -4.5241 20.7427 P
0.0000 0.0000 0.0000 Rb
```

Values from the calculation:
Total DFT energy (no corrections) (eV/cell): -25.2
Space group: R-3m, No. 166